# 1
The following is a DFT calculation (PBE-GGA) of a relaxed structure of RbCaIn.

The structure belongs to space group C2/m (No. 12); the cell edges are 27.228, 4.460 and 4.782 Å and the angles 90.00°, 90.12° and 90.00°. The distinct sites, in fractional coordinates, are Rb at (0.177, 0.000, 0.252), Ca at (0.057, 0.500, 0.751) and In at (0.037, 0.000, 0.251).

As for the energy above the most stable polymorph in this dataset: 0 meV per atom. Its formation energy is -19.18 kJ/mol of atoms. The calculation puts the size of the total moment at 0.000 μB per formula unit. The calculation puts the volume at 48.39 Å³ per atom.

=====

# 2
The following is a DFT calculation (PBE-GGA) of a relaxed structure of Rb2Ca2In.

The structure belongs to space group P4/mbm (No. 127); the cell edges are 8.494, 8.494 and 7.216 Å and the angles 90.00°, 90.00° and 90.00°. The distinct sites, in fractional coordinates, are Rb at (0.182, 0.318, 0.000), Ca at (0.164, 0.664, 0.500) and In at (0.000, 0.000, 0.500).

Its formation energy is 7.30 kJ/mol of atoms. The calculation puts the size of the total moment at 0.000 μB per formula unit. The calculation puts the volume at 52.06 Å³ per atom.

=====

# 3
The following is a DFT calculation (PBE-GGA) of a relaxed structure of Rb3CaIn.

The structure belongs to space group Pm-3m (No. 221); the cell edges are 7.112, 7.112 and 7.112 Å and the angles 90.00°, 90.00° and 90.00°. The distinct sites, in fractional coordinates, are Rb at (0.000, 0.000, 0.500), Ca at (0.500, 0.500, 0.500) and In at (0.000, 0.000, 0.000).

As for the energy above the most stable polymorph in this dataset: 0 meV per atom. Its formation energy is 29.63 kJ/mol of atoms. The calculation puts the size of the total moment at 0.000 μB per formula unit. The calculation puts the volume at 71.95 Å³ per atom.